Compound: Li3In
Source: the Alexandria database
Functional: GGA-PBEsol
Structure: optimized geometry

Cell and atoms, written as POSCAR:
```
Li3In
1.0
-3.518 -2.980 0.528
0.703 -4.549 -0.593
-0.091 -2.858 3.655
In Li
1 3
Cartesian
0.000 0.000 0.000
-2.180 -7.790 2.693
-1.453 -5.194 1.795
-0.727 -2.597 0.898
```

Values from the calculation:
- offset from the most stable computed form (eV per formula unit) = 0.00
- symmetry = Fm-3m
- energy of formation from the pure elements (kJ/mol of formula units) = -100

=====

Compound: Ag2Sb
Source: the Alexandria database
Functional: GGA-PBEsol
Structure: optimized geometry

Cell and atoms, written as POSCAR:
```
Ag2Sb
1.0
4.884 0.000 0.000
-2.442 4.230 0.000
0.000 0.000 5.770
Ag Sb
4 2
Cartesian
0.000 0.000 0.000
0.000 0.000 2.885
2.442 1.410 4.328
0.000 2.820 1.443
0.000 2.820 4.328
2.442 1.410 1.443
```

Values from the calculation:
- offset from the most stable computed form (eV per formula unit) = 0.25
- formation energy without anion corrections (meV per atom) = 136
- symmetry = P6_3/mmc

=====

Compound: BeFe2Se
Source: the Alexandria database
Functional: GGA-PBEsol
Structure: optimized geometry

Cell and atoms, written as POSCAR:
```
BeFe2Se
1.0
-0.389 3.626 1.247
-2.355 2.430 -1.846
-3.293 1.125 1.658
Be Fe Se
1 2 1
Cartesian
0.000 0.000 0.000
-1.509 1.795 0.265
-4.527 5.386 0.794
-3.018 3.591 0.529
```

Values from the calculation:
- formation energy without anion corrections (meV per atom) = 43
- symmetry = Fm-3m

=====

Compound: MgTaTc2
Source: the Alexandria database
Functional: GGA-PBEsol
Structure: optimized geometry

Cell and atoms, written as POSCAR:
```
MgTaTc2
1.0
2.698 0.000 0.002
0.000 4.310 0.000
-0.799 0.000 5.338
Mg Ta Tc
1 1 2
Cartesian
1.349 2.155 0.001
-0.399 2.155 2.669
1.517 0.000 4.033
0.383 0.000 1.306
```

Values from the calculation:
- symmetry = P2/m
- energy of formation from the pure elements (kJ/mol of formula units) = 44